This record from Alexandria via LeMat-Bulk describes a crystal of TlZn2Os relaxed with PBEsol. The functional is SCAN.

Cell: 3.374 3.374 5.653 Å, 90.00 90.00 90.00°
Space group P4mm (No. 99)
Symmetry-distinct sites (fractional):
1 Tl 0.000 0.000 0.000 x1
2 Zn 0.000 0.000 0.510 x1
3 Zn 0.500 0.500 0.273 x1
4 Os 0.500 0.500 0.720 x1

Summary:
**Formation energy**: 0.495 eV per atom
**V**: 16.09 A^3/atom